First-principles (PBE) data for an optimized crystal structure of LiPHF, as listed in the Alexandria database.

The value obtained for the final energy is -3.998 eV/atom.

It has space group P1 (No. 1), with a = 3.7851 Å, b = 4.1373 Å, c = 4.6815 Å, α = 108.54°, β = 110.40° and γ = 101.78°. Symmetry generates all atoms from Li at (0.0000, 0.0000, 0.0000), P at (0.4513, 0.6734, 0.3836), H at (0.2261, 0.8995, 0.4640) and F at (0.5157, 0.8458, 0.0970).